Entry 1:
A plane-wave DFT calculation with PBE was carried out for a geometry-optimized MnPbSe2 structure.

Unit cell a=4.274 b=6.577 c=16.302 alpha=90.00 beta=90.00 gamma=90.00
Last column: magnetic moment on the atom in μB.
Fractional positions:
Se 0.750 0.844 0.595  0.06
Se 0.750 0.134 0.178  0.06
Se 0.250 0.366 0.678  0.06
Se 0.250 0.656 0.095  0.06
Se 0.250 0.866 0.822  0.06
Se 0.750 0.344 0.905  0.06
Se 0.750 0.634 0.322  0.06
Se 0.250 0.156 0.405  0.06
Mn 0.750 0.247 0.326  4.25
Mn 0.250 0.753 0.674  4.25
Mn 0.250 0.253 0.826  4.25
Mn 0.750 0.747 0.174  4.25
Pb 0.750 0.272 0.563  0.06
Pb 0.250 0.728 0.437  0.06
Pb 0.250 0.228 0.063  0.06
Pb 0.750 0.772 0.937  0.06

Output
Uncorrected energy, eV for the cell shown: -86.43
Magnetization, μB per formula unit: 5.00
Formation energy (no corrections), eV/atom: -0.44
SG: Pnma

Entry 2:
A plane-wave DFT calculation with PBE was carried out for a geometry-optimized Mn2PbSe structure.

Unit cell a=3.230 b=3.232 c=7.209 alpha=90.00 beta=90.00 gamma=90.00
Last column: magnetic moment on the atom in μB.
Fractional positions:
Se 0.500 0.500 0.750  -0.08
Mn 0.000 0.000 0.944  3.40
Mn 0.000 0.000 0.556  3.40
Pb 0.500 0.500 0.250  -0.07

Output
Uncorrected energy, eV for the cell shown: -24.66
Magnetization, μB per formula unit: 6.91
Formation energy (no corrections), eV/atom: 0.22
SG: P4/mmm

Entry 3:
A plane-wave DFT calculation with PBE was carried out for a geometry-optimized Mn2PbSe structure.

Unit cell a=4.615 b=3.251 c=5.744 alpha=73.45 beta=90.00 gamma=90.00
Last column: magnetic moment on the atom in μB.
Fractional positions:
Mn 0.000 0.841 0.967  3.40
Mn 0.500 0.209 0.203  3.57
Pb 0.000 0.568 0.473  -0.10
Se 0.500 0.882 0.857  -0.08

Output
Uncorrected energy, eV for the cell shown: -24.78
Magnetization, μB per formula unit: 6.98
Formation energy (no corrections), eV/atom: 0.19
SG: Pm

Entry 4:
A plane-wave DFT calculation with PBE was carried out for a geometry-optimized MnPb2Se structure.

Unit cell a=8.364 b=8.364 c=8.364 alpha=26.90 beta=26.90 gamma=26.90
Last column: magnetic moment on the atom in μB.
Fractional positions:
Mn 0.750 0.750 0.750  3.99
Se 0.250 0.250 0.250  0.08
Pb 0.500 0.500 0.500  -0.03
Pb 0.000 0.000 0.000  -0.03

Output
Uncorrected energy, eV for the cell shown: -19.04
Magnetization, μB per formula unit: 4.23
Formation energy (no corrections), eV/atom: 0.26
SG: R-3m

Entry 5:
A plane-wave DFT calculation with PBE was carried out for a geometry-optimized Mn2PbSe structure.

Unit cell a=7.332 b=7.332 c=7.332 alpha=29.53 beta=29.53 gamma=29.53
Last column: magnetic moment on the atom in μB.
Fractional positions:
Se 0.750 0.750 0.750  0.09
Pb 0.250 0.250 0.250  -0.10
Mn 0.488 0.488 0.488  3.93
Mn 0.012 0.012 0.012  3.93

Output
Uncorrected energy, eV for the cell shown: -25.18
Magnetization, μB per formula unit: 8.29
Formation energy (no corrections), eV/atom: 0.09
SG: R-3m

Entry 6:
A plane-wave DFT calculation with PBE was carried out for a geometry-optimized MnPbSe2 structure.

Unit cell a=7.575 b=7.575 c=7.575 alpha=152.34 beta=150.61 gamma=40.80
Last column: magnetic moment on the atom in μB.
Fractional positions:
Se 0.025 0.025 0.000  0.06
Se 0.314 0.814 0.500  0.06
Mn 0.457 0.457 0.000  4.24
Pb 0.705 0.205 0.500  0.05

Output
Uncorrected energy, eV for the cell shown: -20.96
Magnetization, μB per formula unit: 4.87
Formation energy (no corrections), eV/atom: -0.28
SG: Imm2

Entry 7:
A plane-wave DFT calculation with PBE was carried out for a geometry-optimized Mn2PbSe structure.

Unit cell a=4.728 b=4.728 c=3.628 alpha=90.00 beta=90.00 gamma=101.08
Last column: magnetic moment on the atom in μB.
Fractional positions:
Mn 0.000 0.000 0.000  3.77
Mn 0.500 0.500 0.000  3.77
Se 0.000 0.500 0.500  0.02
Pb 0.500 0.000 0.500  -0.10

Output
Uncorrected energy, eV for the cell shown: -24.23
Magnetization, μB per formula unit: 7.86
Formation energy (no corrections), eV/atom: 0.33
SG: Cmmm

Entry 8:
A plane-wave DFT calculation with PBE was carried out for a geometry-optimized MnPbSe2 structure.

Unit cell a=4.010 b=4.010 c=7.447 alpha=74.38 beta=74.38 gamma=60.00
Last column: magnetic moment on the atom in μB.
Fractional positions:
Se 0.264 0.264 0.207  0.05
Se 0.068 0.068 0.796  0.07
Mn 0.668 0.668 0.996  4.26
Pb 0.500 0.500 0.500  0.08

Output
Uncorrected energy, eV for the cell shown: -21.46
Magnetization, μB per formula unit: 4.99
Formation energy (no corrections), eV/atom: -0.40
SG: R3m